DFT (PBE-GGA) results for crystalline CsNbSbH2 at its relaxed geometry.

POSCAR file:
```
CsNbSbH2
1.0
6.742 0.000 0.000
0.000 3.252 0.000
-1.883 0.000 8.560
Cs Nb Sb H
2 2 2 4
Cartesian
0.000 0.000 0.000 Cs
3.371 1.626 0.000 Cs
-0.034 0.000 5.165 Nb
3.337 1.626 5.165 Nb
2.031 0.000 3.170 Sb
5.402 1.626 3.170 Sb
-0.527 1.626 6.321 H
1.255 1.626 5.425 H
2.844 0.000 6.321 H
4.626 0.000 5.425 H
```

Results
Its crystal system is monoclinic. The space group is No. 8. The value obtained for the total energy is -4.305 eV per atom.

=====

DFT (PBE-GGA) results for crystalline Cs2NbZnH at its relaxed geometry.

POSCAR file:
```
Cs2NbZnH
1.0
6.253 0.000 0.000
0.000 6.253 0.000
0.000 0.000 4.988
Cs Nb Zn H
2 1 1 1
Cartesian
0.000 3.127 0.000 Cs
3.127 0.000 0.000 Cs
0.000 0.000 0.000 Nb
0.000 0.000 2.494 Zn
3.127 3.127 2.494 H
```

Results
Its crystal system is tetragonal. The space group is No. 123. The value obtained for the total energy is -2.106 eV per atom.

=====

What is the formula in the second record?
Cs2NbZnH